RbPb5Au2 (PBE-GGA, optimized geometry); DOS at the Fermi energy = 5.42 states/eV/cell; VASP energy = -3.38 eV/atom; formation energy from the elements = -121.1 meV/atom
1.0
4.5677 0.0000 0.0000
0.0000 8.6462 0.0000
0.0000 0.0000 12.8427
Rb Pb Au
2 10 4
Direct
0.0000 0.0000 0.0000
0.5000 0.5000 0.5000
0.0000 0.1970 0.3485
0.0000 0.1970 0.6515
0.0000 0.5000 0.0000
0.0000 0.8030 0.3485
0.0000 0.8030 0.6515
0.5000 0.0000 0.5000
0.5000 0.3030 0.1515
0.5000 0.3030 0.8485
0.5000 0.6970 0.1515
0.5000 0.6970 0.8485
0.0000 0.5000 0.2423
0.0000 0.5000 0.7577
0.5000 0.0000 0.2577
0.5000 0.0000 0.7423